Entry 1:
Compound: LiSmZn2
Source: Alexandria via LeMat-Bulk
Functional: PBE-GGA
Structure: optimized geometry

Computed properties:
DOS at the Fermi energy: 0.577 states/eV per atom
Energy relative to the lowest polymorph listed for this composition: 0.098 eV per atom

a = 3.394 Å, b = 5.024 Å, c = 5.024 Å
α = 90.00°, β = 90.00°, γ = 90.00°
Element x y z (fractional)
Zn 0.000 0.500 0.000
Zn 0.000 0.000 0.500
Sm 0.500 0.000 0.000
Li 0.500 0.500 0.500

Entry 2:
Compound: Li8SmZn4
Source: Alexandria via LeMat-Bulk
Functional: PBE-GGA
Structure: optimized geometry

Computed properties:
DOS at the Fermi energy: 0.423 states/eV per atom

a = 5.267 Å, b = 7.114 Å, c = 7.114 Å
α = 82.12°, β = 68.27°, γ = 68.27°
Element x y z (fractional)
Zn 0.000 0.500 0.000
Zn 0.000 0.000 0.500
Zn 0.500 0.500 0.000
Zn 0.500 0.000 0.500
Li 0.500 0.778 0.222
Li 0.000 0.349 0.651
Li 0.722 0.778 0.778
Li 0.349 0.651 0.651
Li 0.000 0.651 0.349
Li 0.278 0.222 0.222
Li 0.500 0.222 0.778
Li 0.651 0.349 0.349
Sm 0.000 0.000 0.000

| no. | energy of formation (eV per atom) |
| --- | --- |
| 1 | -0.152 |
| 2 | -0.122 |